Record 1
VASP calculation (GGA-PBE) on PuU4Sn after structural relaxation.

Cell: 5.755 5.755 5.755 Å, 60.00 60.00 60.00°
Atoms (fractional coordinates):
Pu 0.000 0.000 0.000
U 0.135 0.622 0.622
U 0.622 0.135 0.622
U 0.622 0.622 0.135
U 0.622 0.622 0.622
Sn 0.250 0.250 0.250

Summary:
energy of formation from the pure elements = 21 kJ per mole of atoms

=====

Record 2
VASP calculation (GGA-PBE) on CaTlOs2 after structural relaxation.

Cell: 7.942 7.942 5.363 Å, 90.00 90.00 90.00°
Atoms (fractional coordinates):
Ca 0.000 0.000 0.000
Ca 0.000 0.500 0.250
Ca 0.500 0.000 0.750
Ca 0.500 0.500 0.500
Tl 0.000 0.000 0.500
Tl 0.000 0.500 0.750
Tl 0.500 0.000 0.250
Tl 0.500 0.500 0.000
Os 0.225 0.250 0.625
Os 0.250 0.725 0.875
Os 0.250 0.775 0.375
Os 0.275 0.250 0.125
Os 0.725 0.750 0.125
Os 0.750 0.225 0.375
Os 0.750 0.275 0.875
Os 0.775 0.750 0.625

Summary:
energy of formation from the pure elements = 123 kJ per mole of atoms

=====

Record 3
VASP calculation (GGA-PBE) on Sb2Te2I after structural relaxation.

Cell: 9.867 9.867 9.867 Å, 132.70 132.70 69.12°
Atoms (fractional coordinates):
Sb 0.207 0.000 0.207
Sb 0.750 0.043 0.293
Sb 0.750 0.457 0.707
Sb 0.793 0.000 0.793
Te 0.416 0.195 0.221
Te 0.945 0.224 0.279
Te 0.945 0.666 0.721
Te 0.974 0.195 0.779
I 0.355 0.855 0.500
I 0.605 0.605 0.000

Summary:
formation energy from raw total energies = 0.074 eV/atom

=====

Record 4
VASP calculation (GGA-PBE) on La4HgI2 after structural relaxation.

Cell: 7.674 7.674 16.392 Å, 90.00 90.00 149.39°
Atoms (fractional coordinates):
La 0.000 0.000 0.000
La 0.000 0.000 0.500
La 0.322 0.678 0.634
La 0.322 0.678 0.866
La 0.401 0.599 0.250
La 0.599 0.401 0.750
La 0.678 0.322 0.134
La 0.678 0.322 0.366
Hg 0.066 0.934 0.250
Hg 0.934 0.066 0.750
I 0.340 0.660 0.065
I 0.340 0.660 0.435
I 0.660 0.340 0.565
I 0.660 0.340 0.935

Summary:
formation energy from raw total energies = -0.653 eV/atom

=====

Record 5
VASP calculation (GGA-PBE) on NiMoPd after structural relaxation.

Cell: 4.479 2.743 7.031 Å, 90.00 103.12 90.00°
Atoms (fractional coordinates):
Ni 0.000 0.000 0.000
Ni 0.294 0.500 0.261
Mo 0.486 0.500 0.948
Mo 0.952 0.500 0.690
Pd 0.408 0.000 0.583
Pd 0.808 0.000 0.320

Summary:
energy of formation from the pure elements = 4 kJ per mole of atoms

=====

Record 6
VASP calculation (GGA-PBE) on Ti2IO after structural relaxation.

Cell: 5.261 5.261 11.221 Å, 90.00 90.00 90.00°
Atoms (fractional coordinates):
Ti 0.105 0.250 0.125
Ti 0.250 0.605 0.375
Ti 0.250 0.895 0.875
Ti 0.395 0.250 0.625
Ti 0.605 0.750 0.625
Ti 0.750 0.105 0.875
Ti 0.750 0.395 0.375
Ti 0.895 0.750 0.125
I 0.000 0.000 0.500
I 0.000 0.500 0.750
I 0.500 0.000 0.250
I 0.500 0.500 0.000
O 0.000 0.000 0.000
O 0.000 0.500 0.250
O 0.500 0.000 0.750
O 0.500 0.500 0.500

Summary:
formation energy from raw total energies = -0.987 eV/atom

=====

Record 7
VASP calculation (GGA-PBE) on Cr7Ir16Rh6 after structural relaxation.

Cell: 8.425 8.425 8.425 Å, 60.00 60.00 60.00°
Atoms (fractional coordinates):
Cr 0.000 0.000 0.000
Cr 0.000 0.000 0.500
Cr 0.000 0.500 0.000
Cr 0.000 0.500 0.500
Cr 0.500 0.000 0.000
Cr 0.500 0.000 0.500
Cr 0.500 0.500 0.000
Ir 0.014 0.662 0.662
Ir 0.118 0.118 0.118
Ir 0.118 0.118 0.646
Ir 0.118 0.646 0.118
Ir 0.338 0.338 0.338
Ir 0.338 0.338 0.986
Ir 0.338 0.986 0.338
Ir 0.354 0.882 0.882
Ir 0.646 0.118 0.118
Ir 0.662 0.014 0.662
Ir 0.662 0.662 0.014
Ir 0.662 0.662 0.662
Ir 0.882 0.354 0.882
Ir 0.882 0.882 0.354
Ir 0.882 0.882 0.882
Ir 0.986 0.338 0.338
Rh 0.302 0.302 0.698
Rh 0.302 0.698 0.302
Rh 0.302 0.698 0.698
Rh 0.698 0.302 0.302
Rh 0.698 0.302 0.698
Rh 0.698 0.698 0.302

Summary:
energy of formation from the pure elements = 17 kJ per mole of atoms

=====

Record 8
VASP calculation (GGA-PBE) on NiPb2CI after structural relaxation.

Cell: 5.980 5.980 4.170 Å, 90.00 90.00 90.00°
Atoms (fractional coordinates):
Ni 0.000 0.000 0.000
Pb 0.000 0.500 0.500
Pb 0.500 0.000 0.500
C 0.500 0.500 0.000
I 0.500 0.500 0.500

Summary:
formation energy from raw total energies = 1.951 eV/atom

=====

Record 9
VASP calculation (GGA-PBE) on La16Tb7Sm6 after structural relaxation.

Cell: 11.396 11.396 11.396 Å, 60.00 60.00 60.00°
Atoms (fractional coordinates):
La 0.036 0.655 0.655
La 0.121 0.121 0.121
La 0.121 0.121 0.636
La 0.121 0.636 0.121
La 0.345 0.345 0.345
La 0.345 0.345 0.964
La 0.345 0.964 0.345
La 0.364 0.879 0.879
La 0.636 0.121 0.121
La 0.655 0.036 0.655
La 0.655 0.655 0.036
La 0.655 0.655 0.655
La 0.879 0.364 0.879
La 0.879 0.879 0.364
La 0.879 0.879 0.879
La 0.964 0.345 0.345
Tb 0.000 0.000 0.000
Tb 0.000 0.000 0.500
Tb 0.000 0.500 0.000
Tb 0.000 0.500 0.500
Tb 0.500 0.000 0.000
Tb 0.500 0.000 0.500
Tb 0.500 0.500 0.000
Sm 0.293 0.293 0.707
Sm 0.293 0.707 0.293
Sm 0.293 0.707 0.707
Sm 0.707 0.293 0.293
Sm 0.707 0.293 0.707
Sm 0.707 0.707 0.293

Summary:
energy of formation from the pure elements = 18 kJ per mole of atoms

=====

Record 10
VASP calculation (GGA-PBE) on EuTlAg after structural relaxation.

Cell: 7.139 7.139 7.139 Å, 90.00 90.00 90.00°
Atoms (fractional coordinates):
Eu 0.000 0.000 0.000
Eu 0.000 0.500 0.500
Eu 0.500 0.000 0.500
Eu 0.500 0.500 0.000
Tl 0.000 0.000 0.500
Tl 0.000 0.500 0.000
Tl 0.500 0.000 0.000
Tl 0.500 0.500 0.500
Ag 0.250 0.250 0.750
Ag 0.250 0.750 0.250
Ag 0.750 0.250 0.250
Ag 0.750 0.750 0.750

Summary:
energy of formation from the pure elements = -18 kJ per mole of atoms

=====

Record 11
VASP calculation (GGA-PBE) on NdHoAlPd after structural relaxation.

Cell: 7.263 7.263 7.263 Å, 90.00 90.00 90.00°
Atoms (fractional coordinates):
Nd 0.000 0.000 0.000
Nd 0.000 0.500 0.500
Nd 0.500 0.000 0.500
Nd 0.500 0.500 0.000
Ho 0.000 0.000 0.500
Ho 0.000 0.500 0.000
Ho 0.500 0.000 0.000
Ho 0.500 0.500 0.500
Al 0.250 0.250 0.750
Al 0.250 0.750 0.250
Al 0.750 0.250 0.250
Al 0.750 0.750 0.750
Pd 0.250 0.250 0.250
Pd 0.250 0.750 0.750
Pd 0.750 0.250 0.750
Pd 0.750 0.750 0.250

Summary:
energy of formation from the pure elements = -50 kJ per mole of atoms

=====

Record 12
VASP calculation (GGA-PBE) on Ho12ErTl6 after structural relaxation.

Cell: 8.905 8.905 8.905 Å, 104.04 104.04 104.04°
Atoms (fractional coordinates):
Ho 0.000 0.368 0.632
Ho 0.000 0.632 0.368
Ho 0.053 0.053 0.318
Ho 0.053 0.318 0.053
Ho 0.318 0.053 0.053
Ho 0.368 0.000 0.632
Ho 0.368 0.632 0.000
Ho 0.632 0.000 0.368
Ho 0.632 0.368 0.000
Ho 0.682 0.947 0.947
Ho 0.947 0.682 0.947
Ho 0.947 0.947 0.682
Er 0.500 0.500 0.500
Tl 0.187 0.738 0.738
Tl 0.262 0.262 0.813
Tl 0.262 0.813 0.262
Tl 0.738 0.187 0.738
Tl 0.738 0.738 0.187
Tl 0.813 0.262 0.262

Summary:
energy of formation from the pure elements = 3 kJ per mole of atoms

=====

Record 13
VASP calculation (GGA-PBE) on ZrFeRe after structural relaxation.

Cell: 5.939 5.939 5.939 Å, 90.00 90.00 90.00°
Atoms (fractional coordinates):
Zr 0.000 0.000 0.000
Zr 0.000 0.500 0.500
Zr 0.500 0.000 0.500
Zr 0.500 0.500 0.000
Fe 0.250 0.250 0.750
Fe 0.250 0.750 0.250
Fe 0.750 0.250 0.250
Fe 0.750 0.750 0.750
Re 0.000 0.000 0.500
Re 0.000 0.500 0.000
Re 0.500 0.000 0.000
Re 0.500 0.500 0.500

Summary:
energy of formation from the pure elements = 35 kJ per mole of atoms

=====

Record 14
VASP calculation (GGA-PBE) on Er5Ge5Pt2 after structural relaxation.

Cell: 7.826 7.826 10.746 Å, 129.08 129.08 31.49°
Atoms (fractional coordinates):
Er 0.000 0.000 0.000
Er 0.114 0.114 0.419
Er 0.196 0.196 0.823
Er 0.804 0.804 0.177
Er 0.886 0.886 0.581
Ge 0.256 0.256 0.309
Ge 0.436 0.436 0.164
Ge 0.500 0.500 0.500
Ge 0.564 0.564 0.836
Ge 0.744 0.744 0.691
Pt 0.360 0.360 0.748
Pt 0.640 0.640 0.252

Summary:
energy of formation from the pure elements = -88 kJ per mole of atoms

=====

Record 15
VASP calculation (GGA-PBE) on Dy3Ho2Er2 after structural relaxation.

Cell: 3.514 6.094 10.568 Å, 95.56 90.13 106.74°
Atoms (fractional coordinates):
Dy 0.000 0.000 0.000
Dy 0.143 0.285 0.571
Dy 0.857 0.715 0.429
Ho 0.286 0.571 0.143
Ho 0.714 0.429 0.857
Er 0.429 0.857 0.714
Er 0.571 0.143 0.286

Summary:
energy of formation from the pure elements = 2 kJ per mole of atoms

=====

Record 16
VASP calculation (GGA-PBE) on Na5B7C3 after structural relaxation.

Cell: 11.682 11.682 10.017 Å, 107.02 107.02 13.81°
Atoms (fractional coordinates):
Na 0.000 0.000 0.000
Na 0.101 0.101 0.699
Na 0.202 0.202 0.401
Na 0.299 0.299 0.100
Na 0.397 0.397 0.799
Na 0.500 0.500 0.500
Na 0.603 0.603 0.201
Na 0.701 0.701 0.900
Na 0.798 0.798 0.599
Na 0.899 0.899 0.301
B 0.028 0.028 0.305
B 0.125 0.125 0.996
B 0.192 0.192 0.133
B 0.214 0.214 0.676
B 0.379 0.379 0.512
B 0.419 0.419 0.091
B 0.484 0.484 0.220
B 0.516 0.516 0.780
B 0.581 0.581 0.909
B 0.621 0.621 0.488
B 0.786 0.786 0.324
B 0.808 0.808 0.867
B 0.875 0.875 0.004
B 0.972 0.972 0.695
C 0.089 0.089 0.424
C 0.277 0.277 0.804
C 0.317 0.317 0.388
C 0.683 0.683 0.612
C 0.723 0.723 0.196
C 0.911 0.911 0.576

Summary:
energy of formation from the pure elements = 11 kJ per mole of atoms

=====

Record 17
VASP calculation (GGA-PBE) on HfCo3B2 after structural relaxation.

Cell: 5.690 5.690 5.690 Å, 94.49 94.49 94.49°
Atoms (fractional coordinates):
Hf 0.000 0.000 0.000
Hf 0.330 0.330 0.330
Hf 0.670 0.670 0.670
Co 0.000 0.000 0.500
Co 0.000 0.500 0.000
Co 0.196 0.694 0.694
Co 0.306 0.306 0.804
Co 0.306 0.804 0.306
Co 0.500 0.000 0.000
Co 0.694 0.196 0.694
Co 0.694 0.694 0.196
Co 0.804 0.306 0.306
B 0.000 0.377 0.623
B 0.000 0.623 0.377
B 0.377 0.000 0.623
B 0.377 0.623 0.000
B 0.623 0.000 0.377
B 0.623 0.377 0.000

Summary:
energy of formation from the pure elements = -58 kJ per mole of atoms

=====

Record 18
VASP calculation (GGA-PBE) on ScNbTe after structural relaxation.

Cell: 5.212 5.206 9.327 Å, 90.00 90.22 90.00°
Atoms (fractional coordinates):
Sc 0.249 0.000 0.409
Sc 0.251 0.500 0.591
Sc 0.749 0.500 0.409
Sc 0.751 0.000 0.591
Nb 0.249 0.500 0.935
Nb 0.251 0.000 0.065
Nb 0.749 0.000 0.935
Nb 0.751 0.500 0.065
Te 0.248 0.500 0.257
Te 0.252 0.000 0.743
Te 0.748 0.000 0.257
Te 0.752 0.500 0.743

Summary:
formation energy from raw total energies = -0.333 eV/atom

=====

Record 19
VASP calculation (GGA-PBE) on AcPmGeRu after structural relaxation.

Cell: 7.402 7.402 7.402 Å, 90.00 90.00 90.00°
Atoms (fractional coordinates):
Ac 0.000 0.000 0.000
Ac 0.000 0.500 0.500
Ac 0.500 0.000 0.500
Ac 0.500 0.500 0.000
Pm 0.000 0.000 0.500
Pm 0.000 0.500 0.000
Pm 0.500 0.000 0.000
Pm 0.500 0.500 0.500
Ge 0.250 0.250 0.250
Ge 0.250 0.750 0.750
Ge 0.750 0.250 0.750
Ge 0.750 0.750 0.250
Ru 0.250 0.250 0.750
Ru 0.250 0.750 0.250
Ru 0.750 0.250 0.250
Ru 0.750 0.750 0.750

Summary:
energy of formation from the pure elements = -22 kJ per mole of atoms

=====

Record 20
VASP calculation (GGA-PBE) on TbDy3N after structural relaxation.

Cell: 4.963 4.963 4.963 Å, 90.00 90.00 90.00°
Atoms (fractional coordinates):
Tb 0.000 0.000 0.000
Dy 0.000 0.500 0.500
Dy 0.500 0.000 0.500
Dy 0.500 0.500 0.000
N 0.500 0.500 0.500

Summary:
formation energy from raw total energies = -0.515 eV/atom

=====

Record 21
VASP calculation (GGA-PBE) on LiTa2N after structural relaxation.

Cell: 5.240 5.240 10.728 Å, 90.00 90.00 90.00°
Atoms (fractional coordinates):
Li 0.000 0.000 0.000
Li 0.000 0.500 0.250
Li 0.500 0.000 0.750
Li 0.500 0.500 0.500
Ta 0.124 0.250 0.625
Ta 0.250 0.624 0.875
Ta 0.250 0.876 0.375
Ta 0.376 0.250 0.125
Ta 0.624 0.750 0.125
Ta 0.750 0.124 0.375
Ta 0.750 0.376 0.875
Ta 0.876 0.750 0.625
N 0.000 0.000 0.500
N 0.000 0.500 0.750
N 0.500 0.000 0.250
N 0.500 0.500 0.000

Summary:
formation energy from raw total energies = 0.383 eV/atom

=====

no.,total magnetic moment (μB/cell),volume (Å³ per cell),total DFT energy (no corrections) (eV per atom)
1,8.3,135,-10.3654
2,0.0,338,-5.4343
3,0.0,509,-3.1415
4,0.0,492,-3.9549
5,0.0,84,-7.2318
6,0.0,311,-6.5616
7,0.8,423,-8.5600
8,0.5,149,-2.8433
9,0.0,1046,-4.6217
10,29.3,364,-5.3462
11,0.0,383,-5.0891
12,0.0,630,-3.8440
13,0.0,210,-9.4586
14,0.0,260,-5.7470
15,0.0,216,-4.5632
16,0.0,312,-5.2851
17,0.0,182,-8.0362
18,0.0,253,-6.8475
19,0.0,406,-5.9127
20,0.0,122,-5.8671
21,0.0,295,-8.1033